a:
K2BrF: optimized geometry, PBE.

* symmetry: P4/mmm (123)
* DOS(E_F): 0.00 states/eV per atom

Structure (CIF):
```
data_K2BrF
_chemical_formula_sum 'K2 Br1 F1'
_space_group_name_H-M_alt 'P 1'
_space_group_IT_number 1
_cell_length_a 3.678
_cell_length_b 3.678
_cell_length_c 7.426
_cell_angle_alpha 90.00
_cell_angle_beta 90.00
_cell_angle_gamma 90.00
loop_
_space_group_symop_operation_xyz
'x,y,z'
loop_
_atom_site_label
_atom_site_fract_x
_atom_site_fract_y
_atom_site_fract_z
K1 0.000 0.000 0.218
K2 0.000 0.000 0.782
Br1 0.500 0.500 0.500
F1 0.500 0.500 0.000
```

=====

b:
K2BrF: optimized geometry, PBE.

* symmetry: I-42d (122)
* DOS(E_F): 0.00 states/eV per atom

Structure (CIF):
```
data_K2BrF
_chemical_formula_sum 'K4 Br2 F2'
_space_group_name_H-M_alt 'P 1'
_space_group_IT_number 1
_cell_length_a 6.939
_cell_length_b 6.939
_cell_length_c 6.939
_cell_angle_alpha 114.13
_cell_angle_beta 114.13
_cell_angle_gamma 100.50
loop_
_space_group_symop_operation_xyz
'x,y,z'
loop_
_atom_site_label
_atom_site_fract_x
_atom_site_fract_y
_atom_site_fract_z
K1 0.051 0.625 0.926
K2 0.375 0.301 0.426
K3 0.699 0.125 0.074
K4 0.875 0.949 0.574
Br1 0.250 0.750 0.500
Br2 0.500 0.500 0.000
F1 0.000 0.000 0.000
F2 0.750 0.250 0.500
```

=====

c:
K2BrF: optimized geometry, PBE.

* symmetry: R3m (160)
* DOS(E_F): 0.00 states/eV per atom

Structure (CIF):
```
data_K2BrF
_chemical_formula_sum 'K2 Br1 F1'
_space_group_name_H-M_alt 'P 1'
_space_group_IT_number 1
_cell_length_a 7.744
_cell_length_b 7.744
_cell_length_c 7.744
_cell_angle_alpha 31.29
_cell_angle_beta 31.29
_cell_angle_gamma 31.29
loop_
_space_group_symop_operation_xyz
'x,y,z'
loop_
_atom_site_label
_atom_site_fract_x
_atom_site_fract_y
_atom_site_fract_z
K1 0.000 0.000 0.000
K2 0.197 0.197 0.197
Br1 0.431 0.431 0.431
F1 0.600 0.600 0.600
```

=====

Out of the structures above, which one is the most stable? Solution: b.